1.
! GGA-PBE La4Te3Pb, relaxed; values from VASP
&SYSTEM
  ibrav = 0, nat = 16, ntyp = 3
/
ATOMIC_SPECIES
La 138.91 La.upf
Te 127.60 Te.upf
Pb 207.20 Pb.upf
CELL_PARAMETERS angstrom
6.519 0.000 0.000
0.000 6.519 0.000
0.000 0.000 13.065
ATOMIC_POSITIONS angstrom
La 0.000 0.000 3.250
La 0.000 0.000 9.815
La 0.000 3.260 0.000
La 0.000 3.260 6.533
La 3.260 0.000 0.000
La 3.260 0.000 6.533
La 3.260 3.260 3.283
La 3.260 3.260 9.783
Te 0.000 0.000 6.533
Te 0.000 3.260 3.266
Te 0.000 3.260 9.799
Te 3.260 0.000 3.266
Te 3.260 0.000 9.799
Te 3.260 3.260 0.000
Pb 0.000 0.000 0.000
Pb 3.260 3.260 6.533
! raw total energy: -5.50 eV/atom
! crystal system: tetragonal
! space-group type: No. 139
! formation energy from raw total energies: -1393 meV/atom

***

2.
! GGA-PBE LaTe4Pb2, relaxed; values from VASP
&SYSTEM
  ibrav = 0, nat = 14, ntyp = 3
/
ATOMIC_SPECIES
La 138.91 La.upf
Te 127.60 Te.upf
Pb 207.20 Pb.upf
CELL_PARAMETERS angstrom
2.277 -7.567 0.000
2.277 7.567 0.000
0.000 0.000 14.653
ATOMIC_POSITIONS angstrom
La 2.277 6.059 10.990
La 2.277 -6.059 3.663
Te 0.000 0.000 0.000
Te 0.000 0.000 7.326
Te 2.277 3.317 2.033
Te 2.277 3.317 5.293
Te 2.277 0.745 10.990
Te 2.277 -0.745 3.663
Te 2.277 -3.317 9.360
Te 2.277 -3.317 12.620
Pb 2.277 2.044 8.198
Pb 2.277 2.044 13.781
Pb 2.277 -2.044 0.872
Pb 2.277 -2.044 6.455
! raw total energy: -4.27 eV/atom
! crystal system: orthorhombic
! space-group type: No. 63
! formation energy from raw total energies: -707 meV/atom

***

3.
! GGA-PBE La3TePb2, relaxed; values from VASP
&SYSTEM
  ibrav = 0, nat = 12, ntyp = 3
/
ATOMIC_SPECIES
La 138.91 La.upf
Te 127.60 Te.upf
Pb 207.20 Pb.upf
CELL_PARAMETERS angstrom
4.597 0.000 0.000
0.000 6.579 0.000
0.000 0.000 14.144
ATOMIC_POSITIONS angstrom
La 0.000 0.000 0.000
La 0.000 0.000 4.738
La 0.000 0.000 9.406
La 2.299 3.290 2.334
La 2.299 3.290 7.072
La 2.299 3.290 11.810
Te 0.000 3.290 0.000
Te 2.299 0.000 7.072
Pb 0.000 3.290 4.740
Pb 0.000 3.290 9.404
Pb 2.299 0.000 2.332
Pb 2.299 0.000 11.812
! raw total energy: -5.14 eV/atom
! crystal system: orthorhombic
! space-group type: No. 71
! formation energy from raw total energies: -917 meV/atom

***

4.
! GGA-PBE La2TePb, relaxed; values from VASP
&SYSTEM
  ibrav = 0, nat = 16, ntyp = 3
/
ATOMIC_SPECIES
La 138.91 La.upf
Te 127.60 Te.upf
Pb 207.20 Pb.upf
CELL_PARAMETERS angstrom
7.043 0.000 0.000
0.000 7.043 0.000
0.000 0.000 15.620
ATOMIC_POSITIONS angstrom
La 1.708 1.761 1.952
La 1.761 5.230 5.857
La 1.761 5.335 13.667
La 1.813 1.761 9.762
La 5.230 5.282 9.762
La 5.282 1.708 13.667
La 5.282 1.813 5.857
La 5.335 5.282 1.952
Te 0.000 0.000 7.810
Te 0.000 3.522 11.715
Te 3.522 0.000 3.905
Te 3.522 3.522 0.000
Pb 0.000 0.000 0.000
Pb 0.000 3.522 3.905
Pb 3.522 0.000 11.715
Pb 3.522 3.522 7.810
! raw total energy: -4.77 eV/atom
! crystal system: tetragonal
! E above lowest polymorph: 546.8 meV per atom
! space-group type: No. 122
! formation energy from raw total energies: -591 meV/atom

***

5.
! GGA-PBE LaTePb2, relaxed; values from VASP
&SYSTEM
  ibrav = 0, nat = 4, ntyp = 3
/
ATOMIC_SPECIES
La 138.91 La.upf
Te 127.60 Te.upf
Pb 207.20 Pb.upf
CELL_PARAMETERS angstrom
4.662 0.000 0.000
0.000 4.662 0.000
0.000 0.000 5.671
ATOMIC_POSITIONS angstrom
La 0.000 0.000 0.000
Te 2.331 2.331 0.000
Pb 0.000 2.331 2.835
Pb 2.331 0.000 2.835
! raw total energy: -4.48 eV/atom
! crystal system: tetragonal
! space-group type: No. 123
! formation energy from raw total energies: -612 meV/atom

***

6.
! GGA-PBE LaTePb2, relaxed; values from VASP
&SYSTEM
  ibrav = 0, nat = 4, ntyp = 3
/
ATOMIC_SPECIES
La 138.91 La.upf
Te 127.60 Te.upf
Pb 207.20 Pb.upf
CELL_PARAMETERS angstrom
3.990 0.000 0.000
0.000 3.990 0.000
0.000 0.000 8.314
ATOMIC_POSITIONS angstrom
La 0.000 0.000 0.000
Te 1.995 1.995 6.798
Pb 0.000 0.000 4.264
Pb 1.995 1.995 2.435
! raw total energy: -4.46 eV/atom
! crystal system: tetragonal
! space-group type: No. 99
! formation energy from raw total energies: -590 meV/atom